Version w
Compound: TlHgS2Cl
Source: Alexandria
Functional: PBE
Structure: relaxed

Results
total magnetization: 0.0 μB per cell

abc: 5.198 5.198 5.255
angles: 90.00 90.00 90.00
Space group P4/mmm (No. 123)
Symmetry-distinct sites (fractional):
Tl  0.000  0.000  0.000 (multiplicity 1)
Hg  0.500  0.500  0.500 (multiplicity 1)
S  0.000  0.500  0.000 (multiplicity 2)
Cl  0.000  0.000  0.500 (multiplicity 1)



Version x
Compound: TlHgS2Cl
Source: Alexandria
Functional: PBE
Structure: relaxed

Results
total magnetization: 1.2 μB per cell

abc: 5.017 5.017 5.737
angles: 90.00 90.00 90.00
Space group P4/mmm (No. 123)
Symmetry-distinct sites (fractional):
Tl  0.000  0.000  0.000 (multiplicity 1)
Hg  0.500  0.500  0.500 (multiplicity 1)
S  0.000  0.500  0.500 (multiplicity 2)
Cl  0.500  0.500  0.000 (multiplicity 1)



Last place for stability: version w



Version w
Compound: VHgS2Cl
Source: Alexandria
Functional: PBE
Structure: relaxed

Results
total magnetization: 0.0 μB per cell

abc: 4.598 4.598 4.896
angles: 90.00 90.00 90.00
Space group P4/mmm (No. 123)
Symmetry-distinct sites (fractional):
V  0.000  0.000  0.000 (multiplicity 1)
Hg  0.500  0.500  0.500 (multiplicity 1)
S  0.000  0.500  0.000 (multiplicity 2)
Cl  0.000  0.000  0.500 (multiplicity 1)



Version x
Compound: VHgS2Cl
Source: Alexandria
Functional: PBE
Structure: relaxed

Results
total magnetization: 2.7 μB per cell

abc: 5.012 5.012 5.077
angles: 90.00 90.00 90.00
Space group P4/mmm (No. 123)
Symmetry-distinct sites (fractional):
V  0.000  0.000  0.000 (multiplicity 1)
Hg  0.500  0.500  0.500 (multiplicity 1)
S  0.000  0.500  0.500 (multiplicity 2)
Cl  0.500  0.500  0.000 (multiplicity 1)



Last place for stability: version x



Version w
Compound: HgWSCl2
Source: Alexandria
Functional: PBE
Structure: relaxed

Results
total magnetization: 4.2 μB per cell

abc: 5.055 5.055 5.236
angles: 90.00 90.00 90.00
Space group P4/mmm (No. 123)
Symmetry-distinct sites (fractional):
Hg  0.000  0.000  0.000 (multiplicity 1)
W  0.500  0.500  0.500 (multiplicity 1)
S  0.000  0.000  0.500 (multiplicity 1)
Cl  0.000  0.500  0.000 (multiplicity 2)



Version x
Compound: HgWSCl2
Source: Alexandria
Functional: PBE
Structure: relaxed

Results
total magnetization: 0.5 μB per cell

abc: 4.919 4.919 4.659
angles: 90.00 90.00 90.00
Space group P4/mmm (No. 123)
Symmetry-distinct sites (fractional):
Hg  0.000  0.000  0.000 (multiplicity 1)
W  0.500  0.500  0.500 (multiplicity 1)
S  0.500  0.500  0.000 (multiplicity 1)
Cl  0.000  0.500  0.500 (multiplicity 2)



Last place for stability: version w



Version w
Compound: HgWS2Cl
Source: Alexandria
Functional: PBE
Structure: relaxed

Results
total magnetization: 3.7 μB per cell

abc: 5.015 5.015 4.942
angles: 90.00 90.00 90.00
Space group P4/mmm (No. 123)
Symmetry-distinct sites (fractional):
Hg  0.000  0.000  0.000 (multiplicity 1)
W  0.500  0.500  0.500 (multiplicity 1)
S  0.000  0.500  0.000 (multiplicity 2)
Cl  0.000  0.000  0.500 (multiplicity 1)



Version x
Compound: HgWS2Cl
Source: Alexandria
Functional: PBE
Structure: relaxed

Results
total magnetization: 0.0 μB per cell

abc: 4.702 4.702 4.963
angles: 90.00 90.00 90.00
Space group P4/mmm (No. 123)
Symmetry-distinct sites (fractional):
Hg  0.000  0.000  0.000 (multiplicity 1)
W  0.500  0.500  0.500 (multiplicity 1)
S  0.000  0.500  0.500 (multiplicity 2)
Cl  0.500  0.500  0.000 (multiplicity 1)



Last place for stability: version w